[1]
Below is crystalline Ac2Zn3CdGe4 at its relaxed geometry, with properties calculated at the GGA-PBE level.

For the energy of formation from the pure elements, the calculation gives -4.1 eV per formula unit.

Cell lengths 4.634, 4.634, 10.340 Å; angles 90.00, 90.00, 90.00 degrees
Fractional positions:
Ge 0.500 0.000 0.642
Ge 0.500 0.500 0.000
Ge 0.000 0.000 0.000
Ge 0.000 0.500 0.358
Zn 0.500 0.000 0.884
Zn 0.000 0.500 0.116
Zn 0.000 0.000 0.500
Cd 0.500 0.500 0.500
Ac 0.500 0.000 0.237
Ac 0.000 0.500 0.763

[2]
Below is crystalline AcZnCdGe2 at its relaxed geometry, with properties calculated at the GGA-PBE level.

For the energy of formation from the pure elements, the calculation gives -1.9 eV per formula unit.

Cell lengths 4.381, 4.381, 6.766 Å; angles 108.89, 108.89, 90.00 degrees
Fractional positions:
Ge 0.389 0.389 0.778
Ge 0.611 0.611 0.222
Zn 0.750 0.250 0.500
Cd 0.250 0.750 0.500
Ac 0.000 0.000 0.000

[3]
Below is crystalline Ac2Zn4CdGe3 at its relaxed geometry, with properties calculated at the GGA-PBE level.

For the energy of formation from the pure elements, the calculation gives -4.2 eV per formula unit.

Cell lengths 4.518, 4.518, 10.653 Å; angles 90.00, 90.00, 90.00 degrees
Fractional positions:
Zn 0.000 0.500 0.365
Zn 0.500 0.000 0.635
Zn 0.000 0.000 0.000
Zn 0.500 0.500 0.000
Ac 0.000 0.500 0.757
Ac 0.500 0.000 0.243
Ge 0.500 0.000 0.871
Ge 0.000 0.500 0.129
Ge 0.000 0.000 0.500
Cd 0.500 0.500 0.500

[4]
Below is crystalline AcCdH4 at its relaxed geometry, with properties calculated at the GGA-PBE level.

Its final energy is -3.276 eV per atom.

Cell lengths 4.131, 6.738, 7.062 Å; angles 115.09, 101.88, 100.47 degrees
Fractional positions:
H 0.676 0.555 0.903
H 0.858 0.231 0.626
H 0.324 0.445 0.097
H 0.227 0.849 0.903
H 0.142 0.769 0.374
H 0.773 0.151 0.097
H 0.769 0.895 0.626
H 0.231 0.105 0.374
Cd 0.836 0.586 0.672
Cd 0.164 0.414 0.328
Ac 0.618 0.868 0.235
Ac 0.382 0.132 0.765